Entry 1:
NaNiRhAu2: relaxed, PBE-GGA.

## Properties
Crystal system: tetragonal
Calculated formation energy in meV per atom: 1464
DOS at the Fermi energy in states/eV/atom: 2.162

a b c (Å): 4.7447 4.7447 4.6067
angles (deg): 90.00 90.00 90.00
Positions (direct):
Na  0.0000  0.0000  0.0000
Ni  0.5000  0.5000  0.5000
Rh  0.0000  0.0000  0.5000
Au  0.0000  0.5000  0.0000
Au  0.5000  0.0000  0.0000

=====

Entry 2:
Mg8Cd6Ag: relaxed, PBE-GGA.

## Properties
Crystal system: trigonal
Calculated formation energy in meV per atom: -51
Offset from the most stable computed form in meV per atom: 0
DOS at the Fermi energy in states/eV/atom: 0.323

a b c (Å): 7.6477 7.6477 7.6477
angles (deg): 61.80 61.80 61.80
Positions (direct):
Mg  0.0842  0.0842  0.0842
Mg  0.1632  0.3303  0.6269
Mg  0.3303  0.6269  0.1632
Mg  0.3731  0.8368  0.6697
Mg  0.6269  0.1632  0.3303
Mg  0.6697  0.3731  0.8368
Mg  0.8368  0.6697  0.3731
Mg  0.9158  0.9158  0.9158
Cd  0.0336  0.7824  0.5440
Cd  0.2176  0.4560  0.9664
Cd  0.4560  0.9664  0.2176
Cd  0.5440  0.0336  0.7824
Cd  0.7824  0.5440  0.0336
Cd  0.9664  0.2176  0.4560
Ag  0.5000  0.5000  0.5000

=====

Entry 3:
HfSeN2F: relaxed, PBE-GGA.

## Properties
Crystal system: tetragonal
Offset from the most stable computed form in meV per atom: 722
DOS at the Fermi energy in states/eV/atom: 0.891
Energy relative to the elements, uncorrected in meV per atom: 383

a b c (Å): 4.0595 4.0595 5.5067
angles (deg): 90.00 90.00 90.00
Positions (direct):
Hf  0.0000  0.0000  0.0000
Se  0.0000  0.0000  0.5000
N  0.0000  0.5000  0.0000
N  0.5000  0.0000  0.0000
F  0.5000  0.5000  0.5000

=====

Entry 4:
Tb3Pm2Tm9: relaxed, PBE-GGA.

## Properties
Crystal system: triclinic
Calculated formation energy in meV per atom: 89
DOS at the Fermi energy in states/eV/atom: 1.305

a b c (Å): 3.5763 9.0658 14.6199
angles (deg): 106.54 90.07 101.37
Positions (direct):
Tb  0.0000  0.0000  0.0000
Tb  0.2722  0.5406  0.2310
Tb  0.6258  0.2424  0.6405
Pm  0.2939  0.5787  0.6129
Pm  0.9748  0.9337  0.7007
Tm  0.0979  0.1886  0.4308
Tm  0.1597  0.3162  0.8485
Tm  0.3381  0.6736  0.0350
Tm  0.4365  0.8618  0.4666
Tm  0.5916  0.1806  0.2197
Tm  0.6737  0.3444  0.0450
Tm  0.7570  0.5063  0.4106
Tm  0.8167  0.6293  0.8273
Tm  0.9354  0.8666  0.2430

=====

Entry 5:
Tb6YSc12: relaxed, PBE-GGA.

## Properties
Crystal system: trigonal
Calculated formation energy in meV per atom: 507
DOS at the Fermi energy in states/eV/atom: 1.522

a b c (Å): 8.3396 8.3396 8.3396
angles (deg): 100.14 100.14 100.14
Positions (direct):
Tb  0.2394  0.7227  0.7227
Tb  0.2773  0.2773  0.7606
Tb  0.2773  0.7606  0.2773
Tb  0.7227  0.2394  0.7227
Tb  0.7227  0.7227  0.2394
Tb  0.7606  0.2773  0.2773
Y  0.5000  0.5000  0.5000
Sc  0.0000  0.3856  0.6144
Sc  0.0000  0.6144  0.3856
Sc  0.0468  0.0468  0.3365
Sc  0.0468  0.3365  0.0468
Sc  0.3365  0.0468  0.0468
Sc  0.3856  0.0000  0.6144
Sc  0.3856  0.6144  0.0000
Sc  0.6144  0.0000  0.3856
Sc  0.6144  0.3856  0.0000
Sc  0.6635  0.9532  0.9532
Sc  0.9532  0.6635  0.9532
Sc  0.9532  0.9532  0.6635

=====

Entry 6:
ZrMoRu: relaxed, PBE-GGA.

## Properties
Crystal system: monoclinic
Calculated formation energy in meV per atom: -85
Offset from the most stable computed form in meV per atom: 128
DOS at the Fermi energy in states/eV/atom: 0.794

a b c (Å): 5.2743 5.2743 5.4290
angles (deg): 118.63 118.63 53.28
Positions (direct):
Zr  0.1623  0.1623  0.3128
Zr  0.8377  0.8377  0.6872
Mo  0.5000  0.5000  0.0000
Mo  0.5000  0.5000  0.5000
Ru  0.1639  0.1639  0.8114
Ru  0.8361  0.8361  0.1886

=====

Entry 7:
K3MnPd: relaxed, PBE-GGA.

## Properties
Crystal system: cubic
Calculated formation energy in meV per atom: 639
Offset from the most stable computed form in meV per atom: 0
DOS at the Fermi energy in states/eV/atom: 1.791

a b c (Å): 6.2017 6.2017 6.2017
angles (deg): 90.00 90.00 90.00
Positions (direct):
K  0.0000  0.0000  0.5000
K  0.0000  0.5000  0.0000
K  0.5000  0.0000  0.0000
Mn  0.5000  0.5000  0.5000
Pd  0.0000  0.0000  0.0000

=====

Entry 8:
LaSm2Dy3: relaxed, PBE-GGA.

## Properties
Crystal system: orthorhombic
Calculated formation energy in meV per atom: 215
Offset from the most stable computed form in meV per atom: 146
DOS at the Fermi energy in states/eV/atom: 1.552

a b c (Å): 8.1790 8.1790 6.3942
angles (deg): 90.00 90.00 108.08
Positions (direct):
La  0.1764  0.8236  0.5000
La  0.8236  0.1764  0.0000
Sm  0.2629  0.3756  0.2823
Sm  0.3756  0.2629  0.7823
Sm  0.6244  0.7371  0.2823
Sm  0.7371  0.6244  0.7823
Dy  0.0813  0.9187  0.0251
Dy  0.1223  0.5159  0.8309
Dy  0.4841  0.8777  0.8309
Dy  0.5159  0.1223  0.3309
Dy  0.8777  0.4841  0.3309
Dy  0.9187  0.0813  0.5251

=====

Entry 9:
Tb2Bi2S7: relaxed, PBE-GGA.

## Properties
Crystal system: orthorhombic
DOS at the Fermi energy in states/eV/atom: 0.506
Energy relative to the elements, uncorrected in meV per atom: -893

a b c (Å): 8.6885 8.6885 8.6885
angles (deg): 154.07 67.45 118.95
Positions (direct):
Tb  0.0000  0.0000  0.0000
Tb  0.5407  0.0407  0.5000
Bi  0.0796  0.8263  0.2533
Bi  0.5730  0.8263  0.7467
S  0.2176  0.7176  0.5000
S  0.2955  0.1202  0.1753
S  0.3661  0.5008  0.8652
S  0.6356  0.5008  0.1348
S  0.7177  0.3211  0.3966
S  0.9245  0.3211  0.6034
S  0.9449  0.1202  0.8247

=====

Entry 10:
Nd4Sb2AsSe: relaxed, PBE-GGA.

## Properties
Crystal system: monoclinic
DOS at the Fermi energy in states/eV/atom: 0.205
Energy relative to the elements, uncorrected in meV per atom: -1450

a b c (Å): 7.5972 4.3907 7.6152
angles (deg): 90.00 109.36 90.00
Positions (direct):
Nd  0.2417  0.0000  0.2362
Nd  0.2493  0.5000  0.7611
Nd  0.7507  0.5000  0.2389
Nd  0.7583  0.0000  0.7638
Sb  0.0000  0.0000  0.5000
Sb  0.5000  0.5000  0.5000
As  0.0000  0.5000  0.0000
Se  0.5000  0.0000  0.0000

=====

Entry 11:
Ho2MnOs3: relaxed, PBE-GGA.

## Properties
Crystal system: trigonal
Calculated formation energy in meV per atom: -293
DOS at the Fermi energy in states/eV/atom: 0.997

a b c (Å): 5.3051 5.3051 5.3051
angles (deg): 60.34 60.34 60.34
Positions (direct):
Ho  0.1235  0.1235  0.1235
Ho  0.8765  0.8765  0.8765
Mn  0.5000  0.5000  0.5000
Os  0.0000  0.5000  0.5000
Os  0.5000  0.0000  0.5000
Os  0.5000  0.5000  0.0000

=====

Entry 12:
Be2IrI: relaxed, PBE-GGA.

## Properties
Crystal system: tetragonal
Offset from the most stable computed form in meV per atom: 0
DOS at the Fermi energy in states/eV/atom: 0.000
Energy relative to the elements, uncorrected in meV per atom: 394

a b c (Å): 6.5911 6.5911 6.5911
angles (deg): 130.44 130.44 72.70
Positions (direct):
Be  0.0597  0.6250  0.9347
Be  0.3750  0.3097  0.4347
Be  0.6903  0.1250  0.0653
Be  0.8750  0.9403  0.5653
Ir  0.0000  0.0000  0.0000
Ir  0.7500  0.2500  0.5000
I  0.2500  0.7500  0.5000
I  0.5000  0.5000  0.0000

=====

- Look up the DOS at the Fermi energy of the third one.
  0.891 states/eV/atom

=====

- Among the records above, which one has the highest DOS at the Fermi energy?
  NaNiRhAu2

=====

- Among the records above, which one has the highest DOS at the Fermi energy?
  NaNiRhAu2

=====

What did the tenth record say?
Nd4Sb2AsSe: relaxed, PBE-GGA.

## Properties
Crystal system: monoclinic
DOS at the Fermi energy in states/eV/atom: 0.205
Energy relative to the elements, uncorrected in meV per atom: -1450

a b c (Å): 7.5972 4.3907 7.6152
angles (deg): 90.00 109.36 90.00
Positions (direct):
Nd  0.2417  0.0000  0.2362
Nd  0.2493  0.5000  0.7611
Nd  0.7507  0.5000  0.2389
Nd  0.7583  0.0000  0.7638
Sb  0.0000  0.0000  0.5000
Sb  0.5000  0.5000  0.5000
As  0.0000  0.5000  0.0000
Se  0.5000  0.0000  0.0000